Entry 1:
A relaxed structure of La2PuH12Ru3. Source: the Alexandria database, functional GGA-PBE.

Cell: 6.201 6.201 6.201 Å, 62.69 62.69 62.69°
Site moments in Bohr magnetons follow the coordinates.
Fractional coordinates of all 18 atoms:
H 0.865 0.865 0.428  -0.01
H 0.856 0.294 0.294  0.00
H 0.572 0.135 0.135  -0.01
H 0.428 0.865 0.865  -0.01
H 0.865 0.428 0.865  -0.01
H 0.144 0.706 0.706  0.00
H 0.706 0.144 0.706  0.00
H 0.294 0.294 0.856  0.00
H 0.294 0.856 0.294  0.00
H 0.706 0.706 0.144  0.00
H 0.135 0.135 0.572  -0.01
H 0.135 0.572 0.135  -0.01
Ru 0.500 0.000 0.000  0.02
Ru 0.000 0.500 0.000  0.02
Ru 0.000 0.000 0.500  0.02
La 0.387 0.387 0.387  0.19
La 0.613 0.613 0.613  0.19
Pu 0.000 0.000 0.000  5.16

## Properties
- Density of states at the Fermi level: 0.8312 states/eV per atom
- Total magnetization: 6.1 μB/cell
- Volume: 178.7 Å³/f.u.
- Energy: -5.41 eV per atom


Entry 2:
A relaxed structure of LaPuHSe2. Source: the Alexandria database, functional GGA-PBE.

Cell: 4.200 4.200 12.739 Å, 90.00 90.00 90.00°
Site moments in Bohr magnetons follow the coordinates.
Fractional coordinates of all 10 atoms:
H 0.500 0.500 0.500  -0.04
H 0.000 0.000 0.500  -0.04
La 0.000 0.500 0.882  -0.01
La 0.500 0.000 0.118  -0.01
Se 0.500 0.000 0.871  -0.01
Se 0.000 0.500 0.129  -0.01
Se 0.500 0.000 0.348  -0.09
Se 0.000 0.500 0.652  -0.09
Pu 0.500 0.000 0.588  5.30
Pu 0.000 0.500 0.412  5.30

## Properties
- Density of states at the Fermi level: 2.2641 states/eV per atom
- Total magnetization: 10.6 μB/cell
- Volume: 112.4 Å³/f.u.
- Energy: -7.33 eV per atom


Entry 3:
A relaxed structure of RbLaH. Source: the Alexandria database, functional GGA-PBE.

Cell: 3.932 3.935 7.678 Å, 90.11 90.14 119.97°
Fractional coordinates of all 3 atoms:
Rb 0.860 0.718 0.606
La 0.187 0.379 0.128
H 0.855 0.713 0.218

## Properties
- Density of states at the Fermi level: 1.1685 states/eV per atom
- Energy above the most stable polymorph in this dataset: 177 meV/atom
- Total magnetization: 0.0 μB/cell
- Volume: 102.9 Å³/f.u.
- Energy: -3.04 eV per atom


Entry 4:
A relaxed structure of RbLaH. Source: the Alexandria database, functional GGA-PBE.

Cell: 4.885 4.425 4.404 Å, 90.00 90.00 90.00°
Fractional coordinates of all 3 atoms:
Rb 0.000 0.000 0.000
H 0.000 0.500 0.500
La 0.500 0.500 0.500

## Properties
- Density of states at the Fermi level: 1.0279 states/eV per atom
- Energy above the most stable polymorph in this dataset: 342 meV/atom
- Total magnetization: 0.1 μB/cell
- Volume: 95.2 Å³/f.u.
- Energy: -2.87 eV per atom


Entry 5:
A relaxed structure of RbLaH. Source: the Alexandria database, functional GGA-PBE.

Cell: 3.997 4.219 14.690 Å, 83.29 83.04 61.93°
Fractional coordinates of all 6 atoms:
H 0.434 0.933 0.034
H 0.777 0.190 0.099
Rb 0.714 0.077 0.364
Rb 0.270 0.607 0.666
La 0.101 0.533 0.112
La 0.881 0.131 0.930

## Properties
- Density of states at the Fermi level: 0.9900 states/eV per atom
- Energy above the most stable polymorph in this dataset: 54 meV/atom
- Total magnetization: 0.0 μB/cell
- Volume: 108.2 Å³/f.u.
- Energy: -3.16 eV per atom


Entry 6:
A relaxed structure of RbLaH2. Source: the Alexandria database, functional GGA-PBE.

Cell: 4.792 4.792 4.792 Å, 60.00 60.00 60.00°
Site moments in Bohr magnetons follow the coordinates.
Fractional coordinates of all 4 atoms:
H 0.750 0.750 0.750  -0.01
H 0.250 0.250 0.250  -0.01
Rb 0.000 0.000 0.000  0.06
La 0.500 0.500 0.500  0.45

## Properties
- Density of states at the Fermi level: 0.9847 states/eV per atom
- Energy above the most stable polymorph in this dataset: 456 meV/atom
- Total magnetization: 1.0 μB/cell
- Volume: 77.8 Å³/f.u.
- Energy: -2.78 eV per atom


Entry 7:
A relaxed structure of RbLaH. Source: the Alexandria database, functional GGA-PBE.

Cell: 15.170 4.080 7.057 Å, 90.00 100.04 90.00°
Fractional coordinates of all 12 atoms:
La 0.098 0.000 0.503
La 0.897 0.500 0.594
La 0.897 0.000 0.094
La 0.098 0.500 0.003
H 0.848 0.500 0.242
H 0.941 0.500 0.944
H 0.848 0.000 0.742
H 0.941 0.000 0.444
Rb 0.652 0.000 0.669
Rb 0.358 0.500 0.431
Rb 0.652 0.500 0.169
Rb 0.358 0.000 0.931

## Properties
- Density of states at the Fermi level: 0.7779 states/eV per atom
- Energy above the most stable polymorph in this dataset: 0 meV/atom
- Total magnetization: 0.0 μB/cell
- Volume: 107.5 Å³/f.u.
- Energy: -3.21 eV per atom


Entry 8:
A relaxed structure of RbLaH. Source: the Alexandria database, functional GGA-PBE.

Cell: 3.948 4.093 13.756 Å, 90.00 90.29 90.00°
Fractional coordinates of all 6 atoms:
Rb 0.301 0.500 0.348
Rb 0.788 0.000 0.662
La 0.292 0.500 0.899
La 0.796 0.000 0.086
H 0.794 0.500 0.002
H 0.791 0.500 0.798

## Properties
- Density of states at the Fermi level: 0.9280 states/eV per atom
- Energy above the most stable polymorph in this dataset: 37 meV/atom
- Total magnetization: 0.0 μB/cell
- Volume: 111.1 Å³/f.u.
- Energy: -3.18 eV per atom


Entry 9:
A relaxed structure of RbLaH. Source: the Alexandria database, functional GGA-PBE.

Cell: 3.459 3.757 7.619 Å, 90.00 102.98 90.00°
Site moments in Bohr magnetons follow the coordinates.
Fractional coordinates of all 3 atoms:
Rb 0.934 0.500 0.472  0.01
H 0.319 0.000 0.237  0.00
La 0.705 0.000 0.006  0.26

## Properties
- Density of states at the Fermi level: 0.7847 states/eV per atom
- Energy above the most stable polymorph in this dataset: 276 meV/atom
- Total magnetization: 0.6 μB/cell
- Volume: 96.5 Å³/f.u.
- Energy: -2.94 eV per atom


Entry 10:
A relaxed structure of RbLaH. Source: the Alexandria database, functional GGA-PBE.

Cell: 3.837 3.837 7.492 Å, 90.00 90.00 120.00°
Site moments in Bohr magnetons follow the coordinates.
Fractional coordinates of all 3 atoms:
Rb 0.000 0.000 0.279  0.00
La 0.667 0.333 0.804  0.07
H 0.333 0.667 0.964  0.00

## Properties
- Density of states at the Fermi level: 0.9983 states/eV per atom
- Energy above the most stable polymorph in this dataset: 189 meV/atom
- Total magnetization: 0.2 μB/cell
- Volume: 95.5 Å³/f.u.
- Energy: -3.03 eV per atom


Entry 11:
A relaxed structure of RbLaH. Source: the Alexandria database, functional GGA-PBE.

Cell: 3.924 3.926 8.027 Å, 76.30 76.05 60.01°
Fractional coordinates of all 3 atoms:
H 0.938 0.839 0.920
Rb 0.809 0.720 0.303
La 0.303 0.203 0.825

## Properties
- Density of states at the Fermi level: 1.0408 states/eV per atom
- Energy above the most stable polymorph in this dataset: 177 meV/atom
- Total magnetization: 0.0 μB/cell
- Volume: 103.0 Å³/f.u.
- Energy: -3.04 eV per atom


Entry 12:
A relaxed structure of RbLaH. Source: the Alexandria database, functional GGA-PBE.

Cell: 8.086 3.882 6.798 Å, 90.00 105.74 90.00°
Site moments in Bohr magnetons follow the coordinates.
Fractional coordinates of all 6 atoms:
H 0.271 0.000 0.630  0.00
H 0.271 0.500 0.130  0.00
Rb 0.461 0.500 0.523  0.02
Rb 0.461 0.000 0.023  0.02
La 0.983 0.000 0.539  0.21
La 0.983 0.500 0.039  0.21

## Properties
- Density of states at the Fermi level: 0.9443 states/eV per atom
- Energy above the most stable polymorph in this dataset: 283 meV/atom
- Total magnetization: 1.5 μB/cell
- Volume: 102.7 Å³/f.u.
- Energy: -2.93 eV per atom


Entry 13:
A relaxed structure of RbLaH. Source: the Alexandria database, functional GGA-PBE.

Cell: 15.098 4.081 7.059 Å, 90.00 98.76 90.00°
Fractional coordinates of all 12 atoms:
H 0.942 0.500 0.664
H 0.942 0.000 0.164
H 0.848 0.000 0.467
H 0.848 0.500 0.967
Rb 0.357 0.000 0.961
Rb 0.652 0.000 0.403
Rb 0.652 0.500 0.903
Rb 0.357 0.500 0.461
La 0.898 0.000 0.817
La 0.898 0.500 0.317
La 0.098 0.000 0.216
La 0.098 0.500 0.716

## Properties
- Density of states at the Fermi level: 0.7930 states/eV per atom
- Energy above the most stable polymorph in this dataset: 0 meV/atom
- Total magnetization: 0.0 μB/cell
- Volume: 107.5 Å³/f.u.
- Energy: -3.22 eV per atom


Entry 14:
A relaxed structure of RbLaH. Source: the Alexandria database, functional GGA-PBE.

Cell: 3.776 3.771 14.997 Å, 90.00 90.00 120.05°
Site moments in Bohr magnetons follow the coordinates.
Fractional coordinates of all 6 atoms:
Rb 0.619 0.237 0.625  0.01
Rb 0.619 0.237 0.375  0.01
La 0.271 0.541 0.890  0.11
La 0.271 0.541 0.110  0.11
H 0.603 0.207 0.000  0.00
H 0.285 0.570 0.500  0.00

## Properties
- Density of states at the Fermi level: 0.9921 states/eV per atom
- Energy above the most stable polymorph in this dataset: 229 meV/atom
- Total magnetization: 0.7 μB/cell
- Volume: 92.4 Å³/f.u.
- Energy: -2.99 eV per atom


Entry 15:
A relaxed structure of RbLaH2. Source: the Alexandria database, functional GGA-PBE.

Cell: 6.226 6.226 7.329 Å, 64.87 64.87 90.00°
Fractional coordinates of all 8 atoms:
La 0.000 0.000 0.000
La 0.750 0.250 0.500
H 0.875 0.013 0.750
H 0.375 0.237 0.750
H 0.763 0.125 0.250
H 0.987 0.625 0.250
Rb 0.250 0.750 0.500
Rb 0.500 0.500 0.000

## Properties
- Density of states at the Fermi level: 0.2187 states/eV per atom
- Energy above the most stable polymorph in this dataset: 0 meV/atom
- Total magnetization: 0.0 μB/cell
- Volume: 113.6 Å³/f.u.
- Energy: -3.24 eV per atom


Entry 16:
A relaxed structure of RbLaHS. Source: the Alexandria database, functional GGA-PBE.

Cell: 4.049 4.049 7.540 Å, 90.00 90.00 120.00°
Site moments in Bohr magnetons follow the coordinates.
Fractional coordinates of all 4 atoms:
La 0.333 0.667 0.206  0.34
Rb 0.667 0.333 0.688  0.01
H 0.000 0.000 0.398  -0.01
S 0.000 0.000 0.982  0.00

## Properties
- Density of states at the Fermi level: 0.0486 states/eV per atom
- Energy above the most stable polymorph in this dataset: 73 meV/atom
- Total magnetization: 1.0 μB/cell
- Volume: 107.1 Å³/f.u.
- Energy: -4.29 eV per atom


Entry 17:
A relaxed structure of RbLaHS. Source: the Alexandria database, functional GGA-PBE.

Cell: 4.164 4.164 7.725 Å, 90.00 90.00 120.00°
Site moments in Bohr magnetons follow the coordinates.
Fractional coordinates of all 4 atoms:
H 0.000 0.000 0.075  0.00
Rb 0.000 0.000 0.663  0.03
La 0.333 0.667 0.165  0.20
S 0.667 0.333 0.371  0.00

## Properties
- Density of states at the Fermi level: 0.3927 states/eV per atom
- Energy above the most stable polymorph in this dataset: 0 meV/atom
- Total magnetization: 0.9 μB/cell
- Volume: 116.0 Å³/f.u.
- Energy: -4.37 eV per atom


Entry 18:
A relaxed structure of RbLaHS. Source: the Alexandria database, functional GGA-PBE.

Cell: 3.874 3.997 7.469 Å, 90.00 105.02 90.00°
Site moments in Bohr magnetons follow the coordinates.
Fractional coordinates of all 4 atoms:
La 0.794 0.000 0.651  0.17
Rb 0.527 0.500 0.116  0.01
S 0.235 0.500 0.532  -0.01
H 0.957 0.000 0.975  0.00

## Properties
- Density of states at the Fermi level: 0.6338 states/eV per atom
- Energy above the most stable polymorph in this dataset: 83 meV/atom
- Total magnetization: 0.5 μB/cell
- Volume: 111.7 Å³/f.u.
- Energy: -4.28 eV per atom


Entry 19:
A relaxed structure of RbLaHS. Source: the Alexandria database, functional GGA-PBE.

Cell: 3.850 4.026 7.590 Å, 105.32 90.21 90.00°
Site moments in Bohr magnetons follow the coordinates.
Fractional coordinates of all 4 atoms:
Rb 0.175 0.790 0.270  0.02
La 0.672 0.056 0.799  0.10
S 0.171 0.489 0.664  0.00
H 0.173 0.152 0.993  0.00

## Properties
- Density of states at the Fermi level: 0.4683 states/eV per atom
- Energy above the most stable polymorph in this dataset: 56 meV/atom
- Total magnetization: 0.4 μB/cell
- Volume: 113.5 Å³/f.u.
- Energy: -4.31 eV per atom


Entry 20:
A relaxed structure of RbLaH2S. Source: the Alexandria database, functional GGA-PBE.

Cell: 4.797 4.797 5.575 Å, 90.00 90.00 90.00°
Fractional coordinates of all 5 atoms:
La 0.000 0.000 0.000
H 0.000 0.500 0.000
H 0.500 0.000 0.000
S 0.000 0.000 0.500
Rb 0.500 0.500 0.500

## Properties
- Density of states at the Fermi level: 0.0000 states/eV per atom
- Total magnetization: 0.0 μB/cell
- Volume: 128.3 Å³/f.u.
- Energy: -4.21 eV per atom